A plane-wave DFT calculation with PBE was carried out for crystalline LiZrSN2 at its relaxed geometry.

```
5
Lattice="-1.955 -1.338 3.572 -1.953 -3.096 -2.229 3.933 -3.175 0.964" Properties=species:S:1:pos:R:3 pbc="T T T"
Li 0.012 -3.805 1.153
N -0.978 -0.669 1.786
N -0.977 -1.548 -1.115
S 1.967 -1.588 0.482
Zr 0.000 0.000 0.000
```

Calculated values
* magnetic moment: 2.92 Bohr magnetons per cell
* D(E_F): 2.822 states/eV per cell
* space group: P4/mmm
* formation energy (no corrections): 0.096 eV per formula unit
* E_tot: -6.23 eV per atom
* ρ: 2.78 g/cm³